Density functional theory data (PBE) for an optimized crystal structure of Er2P3Ir5.

Cell lengths 3.977, 6.609, 12.512 Å; angles 90.00, 99.14, 90.00 degrees
Sites, in units of the cell vectors:
P  0.213  0.186  0.426
P  0.960  0.483  0.920
P  0.040  0.983  0.080
P  0.787  0.686  0.574
P  0.390  0.058  0.780
P  0.610  0.558  0.220
Ir  0.411  0.409  0.821
Ir  0.115  0.199  0.230
Ir  0.942  0.112  0.884
Ir  0.885  0.699  0.770
Ir  0.687  0.371  0.373
Ir  0.738  0.000  0.475
Ir  0.313  0.871  0.627
Ir  0.058  0.612  0.116
Ir  0.262  0.500  0.525
Ir  0.589  0.909  0.179
Er  0.474  0.786  0.948
Er  0.824  0.262  0.648
Er  0.176  0.762  0.352
Er  0.526  0.286  0.052

## Properties
- VASP energy (eV per cell) = -154.915
- DOS at the Fermi energy (states/eV/cell) = 11.1
- symmetry = Cmc2_1, No. 36
- calculated formation energy (eV per atom) = -0.780